Computed, not measured: CeNd2Pu3S6 after structural relaxation at the PBE level of DFT.

Values from the calculation:
space group	No. 12
Fermi-level density of states	2.075	states/eV per atom
DFT total energy	-8.850	eV/atom
formation energy from raw total energies	-22.97	eV/f.u.

CIF file:
```
data_CeNd2Pu3S6
_chemical_formula_sum 'Ce1 Nd2 Pu3 S6'
_cell_length_a 3.997
_cell_length_b 8.030
_cell_length_c 8.955
_cell_angle_alpha 103.00
_cell_angle_beta 102.90
_cell_angle_gamma 90.00
_space_group_name_H-M_alt 'P 1'
_space_group_IT_number 1
loop_
_space_group_symop_operation_xyz
'x,y,z'
loop_
_atom_site_label
_atom_site_type_symbol
_atom_site_fract_x
_atom_site_fract_y
_atom_site_fract_z
S1 S 0.336 0.410 0.671
Nd1 Nd 0.167 0.335 0.334
S2 S 0.668 0.078 0.337
Ce1 Ce 0.500 0.000 0.000
Pu1 Pu 0.500 0.500 0.000
Pu2 Pu 0.833 0.165 0.667
Pu3 Pu 0.167 0.835 0.333
S3 S 0.002 0.746 0.005
S4 S 0.332 0.922 0.663
S5 S 0.998 0.254 0.995
Nd2 Nd 0.833 0.665 0.666
S6 S 0.664 0.590 0.329
```